Computed, not measured: a relaxed BeGaAg crystal at the PBE-GGA level of DFT.

DFT total energy	-3.03	eV per atom
SG	Imma

abc: 4.9193 4.9193 4.9193
angles: 122.60 111.19 95.73
Positions (direct):
Be 0.5000 0.0000 0.0000
Be 0.5000 0.5000 0.5000
Ga 0.0000 0.0000 0.0000
Ga 0.5000 0.0000 0.5000
Ag 0.1454 0.3954 0.7500
Ag 0.8546 0.6046 0.2500